(A)
Crystalline Nd3HoIn3 at its relaxed geometry, computed with PBE.

Cell lengths 9.5236, 9.5236, 9.5236 Å; angles 90.00, 90.00, 90.00 degrees
Last column: nearest neighbours and their distance in Å.
Space group P2_13 (No. 198)
Symmetry-distinct sites (fractional):
Nd1 0.0686 0.4314 0.5686  6 In 3.23-3.36
Nd2 0.1699 0.8301 0.3301  6 In 3.23-3.40, 3 Nd 3.61
Nd3 0.1769 0.1769 0.1769  6 In 3.21-3.45
Ho1 0.0775 0.5775 0.9225  6 In 3.18-3.34
In1 0.0047 0.2563 0.8677  2 Ho 3.18-3.34, 6 Nd 3.21-3.45

(B)
Crystalline Nd3HoIn3 at its relaxed geometry, computed with PBE.

Cell lengths 9.5754, 9.5754, 5.2503 Å; angles 90.00, 90.00, 120.00 degrees
Last column: nearest neighbours and their distance in Å.
Space group P6_3/m (No. 176)
Symmetry-distinct sites (fractional):
Nd1 0.0029 0.7630 0.2500  4 In 3.22-3.31, 4 Nd 3.48
Ho1 0.3333 0.6667 0.2500  9 In 3.46-3.47, 3 Nd 3.71
In1 0.0747 0.6145 0.7500  4 Nd 3.22-3.31, 2 In 3.26, 3 Ho 3.46-3.47

(A) (29 meV per atom below the next structure)

(A)
Crystalline NdHoIn2 at its relaxed geometry, computed with PBE.

Cell lengths 7.6227, 7.6227, 7.6227 Å; angles 90.00, 90.00, 90.00 degrees
Last column: nearest neighbours and their distance in Å.
Space group Fm-3m (No. 225)
Symmetry-distinct sites (fractional):
Nd1 0.0000 0.0000 0.0000  8 In 3.30
Ho1 0.0000 0.0000 0.5000  8 In 3.30
In1 0.2500 0.2500 0.2500  4 Ho 3.30, 4 Nd 3.30

(B)
Crystalline NdHoIn2 at its relaxed geometry, computed with PBE.

Cell lengths 3.7458, 3.7458, 29.4240 Å; angles 90.00, 90.00, 120.00 degrees
Last column: nearest neighbours and their distance in Å.
Space group R-3m (No. 166, hexagonal axes)
Symmetry-distinct sites (fractional):
Nd1 0.0000 0.0000 0.0000  6 In 3.32
Ho1 0.0000 0.0000 0.5000  6 In 3.21
In1 0.0000 0.0000 0.2475  3 Ho 3.21, 3 Nd 3.32

(A) (163 meV per atom below the next structure)

(A)
Crystalline Nd2Ho5In at its relaxed geometry, computed with PBE.

Cell lengths 9.9071, 10.0677, 9.9069 Å; angles 90.00, 90.00, 90.00 degrees
Last column: nearest neighbours and their distance in Å.
Space group Fmm2 (No. 42)
Symmetry-distinct sites (fractional):
Nd1 0.2505 0.0000 0.0000  2 In 3.50-3.51, 10 Ho 3.50-3.53
Ho1 0.0000 0.0000 0.2497  4 Nd 3.50, 8 Ho 3.53
Ho2 0.0000 0.2498 0.9998  6 Ho 3.50-3.53, 2 In 3.53, 4 Nd 3.53
Ho3 0.2500 0.2500 0.2496  6 Ho 3.50-3.53, 4 Nd 3.53, 2 In 3.53
In1 0.0000 0.0000 0.7500  4 Nd 3.50-3.51, 8 Ho 3.53

(B)
Crystalline Nd2Ho5In at its relaxed geometry, computed with PBE.

Cell lengths 4.9104, 4.9104, 20.3280 Å; angles 90.00, 90.00, 90.00 degrees
Last column: nearest neighbours and their distance in Å.
Space group I4/mmm (No. 139)
Symmetry-distinct sites (fractional):
Nd1 0.0000 0.0000 0.2441  4 Nd 3.48, 8 Ho 3.54-3.71
Ho1 0.0000 0.0000 0.0000  8 Ho 3.44, 4 In 3.47
Ho2 0.0000 0.5000 0.1188  2 In 3.44, 6 Ho 3.44-3.47, 4 Nd 3.54-3.71
In1 0.0000 0.0000 0.5000  12 Ho 3.44-3.47

(B) (24 meV per atom below the next structure)

(A)
Crystalline Nd3HoIn at its relaxed geometry, computed with PBE.

Cell lengths 6.0752, 6.9724, 8.0605 Å; angles 78.60, 72.67, 76.44 degrees
Last column: nearest neighbours and their distance in Å.
Space group P-1 (No. 2)
Symmetry-distinct sites (fractional):
Nd1 0.0866 0.3964 0.3020  3 Ho 3.41-3.73, 7 Nd 3.44-3.59, 2 In 3.51-3.57
Nd2 0.1177 0.9016 0.2868  6 Nd 3.40-3.75, 3 In 3.44-3.53, 3 Ho 3.52-3.69
Nd3 0.3121 0.7048 0.9040  6 Nd 3.40-3.75, 4 In 3.47-3.55, 2 Ho 3.52-3.58
Ho1 0.5000 0.0000 0.5000  2 Ho 3.49, 2 In 3.50, 8 Nd 3.52-3.73
Ho2 0.5000 0.5000 0.5000  8 Nd 3.41-3.69, 2 In 3.43, 2 Ho 3.49
In1 0.2846 0.2151 0.8883  2 Ho 3.43-3.50, 9 Nd 3.44-3.57

(B)
Crystalline Nd3HoIn at its relaxed geometry, computed with PBE.

Cell lengths 4.9203, 25.6966, 4.9222 Å; angles 90.00, 90.00, 90.00 degrees
Last column: nearest neighbours and their distance in Å.
Space group Cmcm (No. 63)
Symmetry-distinct sites (fractional):
Nd1 0.0000 0.0535 0.2500  8 Nd 3.48-3.72, 2 Ho 3.52, 2 In 3.56
Nd2 0.0000 0.2508 0.2500  4 In 3.48-3.51, 4 Nd 3.48, 4 Ho 3.51-3.54
Nd3 0.0000 0.4447 0.2500  8 Nd 3.48-3.76, 2 Ho 3.49, 2 In 3.52
Ho1 0.0000 0.3484 0.7500  4 In 3.48, 8 Nd 3.49-3.54
In1 0.0000 0.1534 0.7500  8 Nd 3.48-3.56, 4 Ho 3.48

(B) (35 meV per atom below the next structure)